A plane-wave DFT calculation with GGA-PBE was carried out for a relaxed Mg5Cd2AgPt2 crystal.

Calculated values
Electronic total energy in eV/atom: -2.85
Calculated density in Mg/m³: 6.98
N(E_F) in states/eV/atom: 0.389
ΔH_f (0 K) in meV per atom: -377.5

```
Mg5Cd2AgPt2
1.0
-0.140 -1.025 3.459
6.010 -8.371 -2.237
8.655 5.671 2.032
Mg Cd Ag Pt
10 4 2 4
Cartesian
1.762 -1.762 1.434 Mg
12.762 -1.964 1.820 Mg
7.304 3.414 3.193 Mg
7.822 -3.946 1.032 Mg
7.221 -7.140 0.061 Mg
6.702 0.220 2.222 Mg
9.426 -1.349 1.867 Mg
5.098 -2.376 1.387 Mg
2.935 -4.698 0.611 Mg
4.257 2.323 2.746 Mg
5.476 -4.641 -1.153 Cd
9.188 1.940 0.948 Cd
3.882 0.469 0.296 Cd
10.783 -3.169 -0.502 Cd
0.000 0.000 0.000 Ag
7.332 -1.350 -0.103 Ag
6.248 2.482 0.989 Pt
8.417 -5.182 -1.195 Pt
11.313 -0.354 0.354 Pt
3.351 -2.347 -0.560 Pt
```